! UMnC2 (PBE-GGA, relaxed); values from VASP
&SYSTEM
  ibrav = 0, nat = 16, ntyp = 3
/
ATOMIC_SPECIES
U 238.03 U.upf
C 12.01 C.upf
Mn 54.94 Mn.upf
CELL_PARAMETERS angstrom
-3.090 -0.694 0.158
0.935 -4.735 -2.504
1.525 -4.659 9.377
ATOMIC_POSITIONS angstrom
U -0.477 -7.872 3.834
U -0.153 -2.216 3.197
U -0.615 -6.509 7.109
U -0.014 -3.578 -0.078
C 0.998 -6.831 5.431
C 0.522 -4.438 6.633
C -0.082 -8.812 7.436
C -1.152 -5.649 0.398
C -1.628 -3.256 1.600
C -0.548 -1.275 -0.405
C 0.647 -5.863 2.813
C -1.276 -4.224 4.218
Mn 0.531 -4.946 4.582
Mn 1.466 -8.741 6.203
Mn -1.161 -5.141 2.450
Mn -2.096 -1.346 0.828
! E, eV per atom: -9.860
! ΔH_f (0 K), eV/atom: -0.134